Record 1
A geometry-optimized SmHo2Mg3AgHg2 structure, computed with PBE.

Output
The volume is 220.3 Å³ per cell. For the total energy, the calculation gives -0.1030 Ha/atom.

Geometry as POSCAR:
```
SmHo2Mg3AgHg2
1.0
4.192 0.000 0.000
0.000 6.767 3.883
0.000 -6.767 3.883
Sm Ho Mg Ag Hg
1 2 3 1 2
direct
0.000 0.000 0.000
0.000 0.411 0.820
0.000 0.820 0.411
0.500 0.167 0.412
0.500 0.412 0.167
0.500 0.655 0.655
0.000 0.415 0.415
0.500 0.080 0.740
0.500 0.740 0.080
```

***

Record 2
A geometry-optimized Ho2TmMg3AgHg2 structure, computed with PBE.

Output
The volume is 214.4 Å³ per cell. For the total energy, the calculation gives -0.1019 Ha/atom.

Geometry as POSCAR:
```
Ho2TmMg3AgHg2
1.0
4.132 0.000 0.000
0.000 6.686 3.881
0.000 -6.686 3.881
Ho Tm Mg Ag Hg
2 1 3 1 2
direct
0.000 0.205 0.795
0.000 0.795 0.205
0.000 0.385 0.385
0.500 0.042 0.042
0.500 0.549 0.794
0.500 0.794 0.549
0.000 0.794 0.794
0.500 0.130 0.461
0.500 0.461 0.130
```

***

Record 3
A geometry-optimized Y2HoMg3AgHg2 structure, computed with PBE.

Output
The volume is 217.5 Å³ per cell. For the total energy, the calculation gives -0.1185 Ha/atom.

Geometry as POSCAR:
```
Y2HoMg3AgHg2
1.0
4.136 0.000 0.000
0.000 6.746 3.898
0.000 -6.746 3.898
Y Ho Mg Ag Hg
2 1 3 1 2
direct
0.000 0.205 0.795
0.000 0.795 0.205
0.000 0.614 0.614
0.500 0.205 0.451
0.500 0.451 0.205
0.500 0.959 0.959
0.000 0.205 0.205
0.500 0.538 0.871
0.500 0.871 0.538
```

***

Record 4
A geometry-optimized Ho3Mg3ZnAgHg structure, computed with PBE.

Output
The volume is 210.6 Å³ per cell. For the total energy, the calculation gives -0.1048 Ha/atom.

Geometry as POSCAR:
```
Ho3Mg3ZnAgHg
1.0
7.679 0.000 0.000
-3.840 6.650 0.000
0.000 0.000 4.125
Ho Mg Zn Ag Hg
3 3 1 1 1
direct
0.010 0.417 0.000
0.407 0.990 0.000
0.583 0.593 0.000
0.003 0.753 0.500
0.247 0.250 0.500
0.750 0.997 0.500
0.333 0.667 0.500
0.000 0.000 0.000
0.667 0.333 0.500
```

***

Record 5
A geometry-optimized Nd2HoZn3AgHg2 structure, computed with PBE.

Output
The volume is 208.7 Å³ per cell. Its calculated formation energy is -0.3425 eV/atom.

Geometry as POSCAR:
```
Nd2HoZn3AgHg2
1.0
4.128 0.000 0.000
0.000 6.612 3.823
0.000 -6.612 3.823
Nd Ho Zn Ag Hg
2 1 3 1 2
direct
0.000 0.202 0.798
0.000 0.798 0.202
0.000 0.605 0.605
0.500 0.206 0.446
0.500 0.446 0.206
0.500 0.961 0.961
0.000 0.209 0.209
0.500 0.539 0.862
0.500 0.862 0.539
```

***

Record 6
A geometry-optimized InAg2Hg structure, computed with PBE.

Output
The volume is 81.1 Å³ per cell. For the total energy, the calculation gives -0.0775 Ha/atom.

Geometry as POSCAR:
```
InAg2Hg
1.0
0.000 3.435 3.435
3.435 0.000 3.435
3.435 3.435 0.000
In Ag Hg
1 2 1
direct
0.000 0.000 0.000
0.500 0.500 0.500
0.750 0.750 0.750
0.250 0.250 0.250
```

***

Record 7
A geometry-optimized InAgHg2 structure, computed with PBE.

Output
The volume is 94.3 Å³ per cell. For the total energy, the calculation gives -0.0535 Ha/atom.

Geometry as POSCAR:
```
InAgHg2
1.0
0.000 3.612 3.612
3.612 0.000 3.612
3.612 3.612 0.000
In Ag Hg
1 1 2
direct
0.000 0.000 0.000
0.250 0.250 0.250
0.500 0.500 0.500
0.750 0.750 0.750
```

***

Record 8
A geometry-optimized Nd3InAgHg2Ir2 structure, computed with PBE.

Output
The volume is 210.5 Å³ per cell. For the total energy, the calculation gives -0.1747 Ha/atom.

Geometry as POSCAR:
```
Nd3InAgHg2Ir2
1.0
3.952 0.000 0.000
0.000 6.819 3.905
0.000 -6.819 3.905
Nd In Ag Hg Ir
3 1 1 2 2
direct
0.000 0.000 0.000
0.000 0.405 0.822
0.000 0.822 0.405
0.500 0.672 0.672
0.000 0.413 0.413
0.500 0.142 0.409
0.500 0.409 0.142
0.500 0.061 0.737
0.500 0.737 0.061
```

***

Record 9
A geometry-optimized Li4In2AgHg structure, computed with PBE.

Output
The volume is 144.8 Å³ per cell. For the total energy, the calculation gives -0.0860 Ha/atom.

Geometry as POSCAR:
```
Li4In2AgHg
1.0
4.678 0.000 0.000
0.000 4.678 0.000
0.000 0.000 6.618
Li In Ag Hg
4 2 1 1
direct
0.000 0.000 0.000
0.000 0.500 0.247
0.500 0.000 0.753
0.500 0.500 0.500
0.000 0.500 0.761
0.500 0.000 0.239
0.500 0.500 0.000
0.000 0.000 0.500
```

***

Record 10
A geometry-optimized Li2In2AgHg2Pd structure, computed with PBE.

Output
The volume is 151.1 Å³ per cell. For the total energy, the calculation gives -0.0928 Ha/atom.

Geometry as POSCAR:
```
Li2In2AgHg2Pd
1.0
4.744 0.000 0.000
0.000 4.744 0.000
0.000 0.000 6.714
Li In Ag Hg Pd
2 2 1 2 1
direct
0.000 0.000 0.000
0.500 0.500 0.500
0.000 0.500 0.240
0.500 0.000 0.760
0.000 0.000 0.500
0.000 0.500 0.756
0.500 0.000 0.244
0.500 0.500 0.000
```

***

Record 11
A geometry-optimized Na4In2AgHg structure, computed with PBE.

Output
The volume is 184.3 Å³ per cell. For the total energy, the calculation gives -0.0683 Ha/atom.

Geometry as POSCAR:
```
Na4In2AgHg
1.0
5.068 0.000 0.000
0.000 5.068 0.000
0.000 0.000 7.177
Na In Ag Hg
4 2 1 1
direct
0.000 0.000 0.000
0.000 0.500 0.247
0.500 0.000 0.753
0.500 0.500 0.500
0.000 0.500 0.760
0.500 0.000 0.240
0.500 0.500 0.000
0.000 0.000 0.500
```

***

Record 12
A geometry-optimized InNiAgHg structure, computed with PBE.

Output
The volume is 73.0 Å³ per cell. For the total energy, the calculation gives -0.0980 Ha/atom.

Geometry as POSCAR:
```
InNiAgHg
1.0
0.000 3.317 3.317
3.317 0.000 3.317
3.317 3.317 0.000
In Ni Ag Hg
1 1 1 1
direct
0.000 0.000 0.000
0.250 0.250 0.250
0.500 0.500 0.500
0.750 0.750 0.750
```